BaCrSb2 | PBE-GGA | optimized geometry

It has space group Imm2 (No. 44), with a = 3.4742 Å, b = 4.2029 Å, c = 16.3180 Å, α = 90.00°, β = 90.00° and γ = 90.00°. The asymmetric unit holds Ba at (0.0000, 0.0000, 0.0000), Cr at (0.0000, 0.5000, 0.2640), Sb at (0.0000, 0.0000, 0.6328) and Sb at (0.0000, 0.5000, 0.8275).

Its total energy is -5.08 eV per atom. For the formation energy from raw total energies, the calculation gives -0.136 eV per atom.

BAs2RuBr | PBE-GGA | optimized geometry

It has space group P4/mmm (No. 123), with a = 4.6790 Å, b = 4.6790 Å, c = 5.4707 Å, α = 90.00°, β = 90.00° and γ = 90.00°. The asymmetric unit holds B at (0.0000, 0.0000, 0.0000), As at (0.0000, 0.5000, 0.5000), Ru at (0.5000, 0.5000, 0.5000) and Br at (0.5000, 0.5000, 0.0000).

Its total energy is -4.16 eV per atom. For the formation energy from raw total energies, the calculation gives 1.222 eV per atom. The energy above the most stable polymorph in this dataset comes out at 87.5 meV per atom.

Er4Al12Ni | PBE-GGA | optimized geometry

It has space group Im-3m (No. 229), with a = 8.5573 Å, b = 8.5573 Å, c = 8.5573 Å, α = 90.00°, β = 90.00° and γ = 90.00°. The asymmetric unit holds Er at (0.2500, 0.2500, 0.2500), Al at (0.0000, 0.0000, 0.2833), Al at (0.0000, 0.2500, 0.5000) and Ni at (0.0000, 0.0000, 0.0000).

Its total energy is -4.54 eV per atom. The calculation puts the formation enthalpy at 0 K at -0.481 eV per atom.

Er3Ni8Pd | PBE-GGA | optimized geometry

It has space group R3m (No. 160, hexagonal axes), with a = 4.9656 Å, b = 4.9656 Å, c = 24.3415 Å, α = 90.00°, β = 90.00° and γ = 120.00°. The asymmetric unit holds Er at (0.0000, 0.0000, 0.0000), Er at (0.0000, 0.0000, 0.1308), Er at (0.0000, 0.0000, 0.6121), Ni at (0.0000, 0.0000, 0.3107), Ni at (0.0000, 0.0000, 0.8103), Ni at (0.0001, 0.5001, 0.0608), Ni at (0.0038, 0.5019, 0.5609) and Pd at (0.0000, 0.0000, 0.4930).

Its total energy is -5.89 eV per atom. The calculation puts the formation enthalpy at 0 K at -0.458 eV per atom.